(1)
# Al2MoOs3

An optimized crystal structure of Al2MoOs3 (PBE-GGA, Alexandria via LeMat-Bulk).

Cell lengths 3.019, 3.019, 9.352 Å; angles 90.00, 90.00, 90.00 degrees
Atoms (fractional coordinates):
Al 0.500 0.500 0.843
Al 0.500 0.500 0.157
Mo 0.500 0.500 0.500
Os 0.000 0.000 0.000
Os 0.000 0.000 0.674
Os 0.000 0.000 0.326

Computed properties:
- DFT total energy (eV/atom) = -8.944
- size of the total moment (μB per atom) = 0.0000
- DOS(E_F) (states/eV/cell) = 4.70
- formation energy (eV per atom) = -0.277

(2)
# AlMoOs2

An optimized crystal structure of AlMoOs2 (PBE-GGA, Alexandria via LeMat-Bulk).

Cell lengths 4.093, 2.770, 5.372 Å; angles 74.26, 90.00, 90.00 degrees
Atoms (fractional coordinates):
Mo 0.500 0.750 0.750
Os 0.000 0.077 0.015
Os 0.000 0.423 0.485
Al 0.500 0.250 0.250

Computed properties:
- DFT total energy (eV/atom) = -9.257
- size of the total moment (μB per atom) = 0.0000
- DOS(E_F) (states/eV/cell) = 3.83
- formation energy (eV per atom) = 0.001

(3)
# AlMo2Os

An optimized crystal structure of AlMo2Os (PBE-GGA, Alexandria via LeMat-Bulk).

Cell lengths 4.617, 4.617, 2.854 Å; angles 90.00, 90.00, 90.00 degrees
Atoms (fractional coordinates):
Mo 0.000 0.000 0.000
Mo 0.500 0.500 0.000
Os 0.500 0.000 0.500
Al 0.000 0.500 0.500

Computed properties:
- DFT total energy (eV/atom) = -9.048
- size of the total moment (μB per atom) = 0.0000
- DOS(E_F) (states/eV/cell) = 4.54
- formation energy (eV per atom) = 0.111

(4)
# AlMo2Os

An optimized crystal structure of AlMo2Os (PBE-GGA, Alexandria via LeMat-Bulk).

Cell lengths 3.131, 3.131, 6.133 Å; angles 90.00, 90.00, 90.00 degrees
Atoms (fractional coordinates):
Mo 0.000 0.000 0.004
Mo 0.500 0.500 0.243
Os 0.000 0.000 0.510
Al 0.500 0.500 0.744

Computed properties:
- DFT total energy (eV/atom) = -9.231
- size of the total moment (μB per atom) = 0.0000
- DOS(E_F) (states/eV/cell) = 3.31
- formation energy (eV per atom) = -0.072

(5)
# AlMoOs2

An optimized crystal structure of AlMoOs2 (PBE-GGA, Alexandria via LeMat-Bulk).

Cell lengths 7.003, 7.003, 5.625 Å; angles 51.50, 51.50, 90.00 degrees
Atoms (fractional coordinates):
Mo 0.000 0.000 0.000
Mo 0.750 0.250 0.500
Os 0.637 0.125 0.250
Os 0.113 0.625 0.250
Os 0.375 0.363 0.750
Os 0.875 0.887 0.750
Al 0.500 0.500 0.000
Al 0.250 0.750 0.500

Computed properties:
- DFT total energy (eV/atom) = -8.568
- size of the total moment (μB per atom) = 0.0000
- DOS(E_F) (states/eV/cell) = 6.67
- formation energy (eV per atom) = 0.691

(6)
# AlMoOs2

An optimized crystal structure of AlMoOs2 (PBE-GGA, Alexandria via LeMat-Bulk).

Cell lengths 2.975, 4.614, 4.289 Å; angles 90.00, 90.00, 90.00 degrees
Atoms (fractional coordinates):
Mo 0.000 0.500 0.500
Os 0.000 0.000 0.000
Os 0.500 0.500 0.000
Al 0.500 0.000 0.500

Computed properties:
- DFT total energy (eV/atom) = -9.172
- size of the total moment (μB per atom) = 0.0000
- DOS(E_F) (states/eV/cell) = 3.61
- formation energy (eV per atom) = 0.087

(7)
# AlMoOs2

An optimized crystal structure of AlMoOs2 (PBE-GGA, Alexandria via LeMat-Bulk).

Cell lengths 4.365, 4.365, 4.365 Å; angles 60.00, 60.00, 60.00 degrees
Atoms (fractional coordinates):
Mo 0.750 0.750 0.750
Os 0.000 0.000 0.000
Os 0.250 0.250 0.250
Al 0.500 0.500 0.500

Computed properties:
- DFT total energy (eV/atom) = -9.139
- size of the total moment (μB per atom) = 0.0001
- DOS(E_F) (states/eV/cell) = 4.95
- formation energy (eV per atom) = 0.119

(8)
# AlMoOs2

An optimized crystal structure of AlMoOs2 (PBE-GGA, Alexandria via LeMat-Bulk).

Cell lengths 4.025, 2.804, 5.938 Å; angles 61.68, 90.00, 90.00 degrees
Atoms (fractional coordinates):
Mo 0.500 0.750 0.754
Os 0.000 0.014 0.983
Os 0.500 0.219 0.280
Al 0.000 0.518 0.484

Computed properties:
- DFT total energy (eV/atom) = -9.334
- size of the total moment (μB per atom) = 0.0000
- DOS(E_F) (states/eV/cell) = 1.55
- formation energy (eV per atom) = -0.076